Computed, not measured: crystalline CeTlV at its relaxed geometry at the GGA-PBE level of DFT.

## Properties
The space group is P2_1/m, No. 11. For the formation energy, the calculation gives 0.573 eV per formula unit.

Lattice parameters (Å, degrees): 5.2564 4.6454 6.1435 90.00 106.50 90.00
Closest atoms and distances in Å follow each position.
Element x y z (fractional)
Ce: 0.1268 0.2500 0.2820  1 V 2.26
Ce: 0.8732 0.7500 0.7180  1 V 2.26
Tl: 0.3710 0.2500 0.8375  3 V 2.93-2.94, 2 Tl 3.11
Tl: 0.6290 0.7500 0.1625  3 V 2.93-2.94, 2 Tl 3.11
V: 0.4284 0.7500 0.5620  1 Ce 2.26
V: 0.5716 0.2500 0.4380  1 Ce 2.26